## MnCoPIrF (PBE with a Hubbard U)

Data for crystalline MnCoPIrF at its relaxed geometry.

Properties
- Total DFT energy (no corrections): -6.37 eV/atom
- Crystal system: monoclinic

abc: 16.141 2.989 3.075
angles: 90.00 100.88 90.00
Atoms (fractional coordinates):
1 Mn 0.000 0.000 0.000
2 Mn 0.500 0.500 0.000
3 Co 0.228 0.500 0.231
4 Co 0.728 0.000 0.231
5 P 0.276 0.000 0.779
6 P 0.776 0.500 0.779
7 Ir 0.385 0.000 0.387
8 Ir 0.885 0.500 0.387
9 F 0.096 0.500 0.099
10 F 0.596 0.000 0.099